# Tm5Sn2Ru2

An optimized crystal structure of Tm5Sn2Ru2 (PBE, the Alexandria database).

```
data_Tm5Sn2Ru2
_cell_length_a 15.7534
_cell_length_b 7.7835
_cell_length_c 7.2504
_cell_angle_alpha 90.00
_cell_angle_beta 90.00
_cell_angle_gamma 90.00
_symmetry_space_group_name_H-M 'C m c e'
_symmetry_Int_Tables_number 64
_symmetry_space_group_name_Hall '-C 2ac 2'
loop_
_atom_site_label
_atom_site_type_symbol
_atom_site_fract_x
_atom_site_fract_y
_atom_site_fract_z
Tm1 Tm 0.0000 0.0000 0.0000
Tm2 Tm 0.1200 0.1760 0.3343
Sn1 Sn 0.2180 0.0000 0.0000
Ru1 Ru 0.0000 0.1280 0.6243
```

Density in g cm⁻³: 9.595
VASP energy in eV/atom: -5.9264

# CrSiNi2

An optimized crystal structure of CrSiNi2 (PBE, the Alexandria database).

```
data_CrSiNi2
_cell_length_a 2.5449
_cell_length_b 3.7784
_cell_length_c 4.8599
_cell_angle_alpha 90.00
_cell_angle_beta 104.86
_cell_angle_gamma 90.00
_symmetry_space_group_name_H-M 'P 1 2/m 1'
_symmetry_Int_Tables_number 10
loop_
_symmetry_equiv_pos_as_xyz
'x,y,z'
'-x,-y,-z'
'-x,y,-z'
'x,-y,z'
loop_
_atom_site_label
_atom_site_type_symbol
_atom_site_fract_x
_atom_site_fract_y
_atom_site_fract_z
Cr1 Cr 0.0000 0.0000 0.0000
Si1 Si 0.5000 0.0000 0.5000
Ni1 Ni 0.3398 0.5000 0.7448
```

Density in g cm⁻³: 7.260
VASP energy in eV/atom: -6.8384
ΔE_f (raw) in kJ/mol of formula units: -71.8

# YSiIr2

An optimized crystal structure of YSiIr2 (PBE, the Alexandria database).

```
data_YSiIr2
_cell_length_a 7.1545
_cell_length_b 7.1545
_cell_length_c 5.8467
_cell_angle_alpha 90.00
_cell_angle_beta 90.00
_cell_angle_gamma 90.00
_symmetry_space_group_name_H-M 'I -4 2 d'
_symmetry_Int_Tables_number 122
_symmetry_space_group_name_Hall 'I -4 2bw'
loop_
_atom_site_label
_atom_site_type_symbol
_atom_site_fract_x
_atom_site_fract_y
_atom_site_fract_z
Y1 Y 0.0000 0.0000 0.0000
Si1 Si 0.0000 0.0000 0.5000
Ir1 Ir 0.1746 0.7500 0.6250
```

Density in g cm⁻³: 11.129
VASP energy in eV/atom: -7.8715
ΔE_f (raw) in kJ/mol of formula units: -181.1

# TaBAsBr2

An optimized crystal structure of TaBAsBr2 (PBE, the Alexandria database).

```
data_TaBAsBr2
_cell_length_a 4.5338
_cell_length_b 4.5338
_cell_length_c 4.6848
_cell_angle_alpha 90.00
_cell_angle_beta 90.00
_cell_angle_gamma 90.00
_symmetry_space_group_name_H-M 'P 4/m m m'
_symmetry_Int_Tables_number 123
_symmetry_space_group_name_Hall '-P 4 2'
loop_
_atom_site_label
_atom_site_type_symbol
_atom_site_fract_x
_atom_site_fract_y
_atom_site_fract_z
Ta1 Ta 0.0000 0.0000 0.0000
B1 B 0.0000 0.0000 0.5000
As1 As 0.5000 0.5000 0.0000
Br1 Br 0.0000 0.5000 0.5000
```

Density in g cm⁻³: 7.354
Energy above the lowest structure with this stoichiometry in eV/f.u.: 0.75
VASP energy in eV/atom: -4.1702
ΔE_f (raw) in kJ/mol of formula units: 547.5

# BaCoAs2Br

An optimized crystal structure of BaCoAs2Br (PBE, the Alexandria database).

```
data_BaCoAs2Br
_cell_length_a 4.5320
_cell_length_b 4.5320
_cell_length_c 6.5929
_cell_angle_alpha 90.00
_cell_angle_beta 90.00
_cell_angle_gamma 90.00
_symmetry_space_group_name_H-M 'P 4/m m m'
_symmetry_Int_Tables_number 123
_symmetry_space_group_name_Hall '-P 4 2'
loop_
_atom_site_label
_atom_site_type_symbol
_atom_site_fract_x
_atom_site_fract_y
_atom_site_fract_z
Ba1 Ba 0.0000 0.0000 0.0000
Co1 Co 0.5000 0.5000 0.5000
As1 As 0.0000 0.5000 0.5000
Br1 Br 0.5000 0.5000 0.0000
```

Density in g cm⁻³: 5.224
Energy above the lowest structure with this stoichiometry in eV/f.u.: 0.00
VASP energy in eV/atom: -4.5306
ΔE_f (raw) in kJ/mol of formula units: -255.9

# OsRu3W

An optimized crystal structure of OsRu3W (PBE, the Alexandria database).

```
data_OsRu3W
_cell_length_a 4.6036
_cell_length_b 4.6036
_cell_length_c 4.6036
_cell_angle_alpha 90.00
_cell_angle_beta 90.00
_cell_angle_gamma 90.00
_symmetry_space_group_name_H-M 'P m -3 m'
_symmetry_Int_Tables_number 221
_symmetry_space_group_name_Hall '-P 4 2 3'
loop_
_atom_site_label
_atom_site_type_symbol
_atom_site_fract_x
_atom_site_fract_y
_atom_site_fract_z
Os1 Os 0.0000 0.0000 0.0000
Ru1 Ru 0.0000 0.5000 0.5000
W1 W 0.5000 0.5000 0.5000
```

Density in g cm⁻³: 11.527
Energy above the lowest structure with this stoichiometry in eV/f.u.: 9.30
VASP energy in eV/atom: -8.2220